HgH2Ru | GGA-PBE | relaxed

The structure belongs to space group Fm-3m (No. 225); the cell edges are 5.514, 5.514 and 5.514 Å and the angles 90.00°, 90.00° and 90.00°. The distinct sites, in fractional coordinates, are Hg at (0.000, 0.000, 0.000), H at (0.250, 0.250, 0.250) and Ru at (0.000, 0.000, 0.500).

The calculation puts the energy relative to the lowest polymorph listed for this composition at 659.3 meV per atom.

=====

HgH2Ru | GGA-PBE | relaxed

The structure belongs to space group R3m (No. 160, hexagonal axes); the cell edges are 3.0524, 3.0524 and 15.9247 Å and the angles 90.00°, 90.00° and 120.00°. The distinct sites, in fractional coordinates, are Hg at (0.0000, 0.0000, 0.0000), H at (0.0000, 0.0000, 0.5392), H at (0.0000, 0.0000, 0.8022) and Ru at (0.0000, 0.0000, 0.1774).

The calculation puts the energy relative to the lowest polymorph listed for this composition at 0.0 meV per atom.

=====

Hg2HRu | GGA-PBE | relaxed

The structure belongs to space group I-42d (No. 122); the cell edges are 6.706, 6.706 and 5.548 Å and the angles 90.00°, 90.00° and 90.00°. The distinct sites, in fractional coordinates, are Hg at (0.178, 0.250, 0.125), H at (0.000, 0.000, 0.000) and Ru at (0.000, 0.000, 0.500).

The calculation puts the energy relative to the lowest polymorph listed for this composition at 0.0 meV per atom.

=====

Hg3HRu | GGA-PBE | relaxed

The structure belongs to space group Pm-3m (No. 221); the cell edges are 5.291, 5.291 and 5.291 Å and the angles 90.00°, 90.00° and 90.00°. The distinct sites, in fractional coordinates, are Hg at (0.000, 0.000, 0.500), H at (0.500, 0.500, 0.500) and Ru at (0.000, 0.000, 0.000).

The calculation puts the energy relative to the lowest polymorph listed for this composition at 162.9 meV per atom.

=====

HgH3Ru | GGA-PBE | relaxed

The structure belongs to space group Pm-3m (No. 221); the cell edges are 3.686, 3.686 and 3.686 Å and the angles 90.00°, 90.00° and 90.00°. The distinct sites, in fractional coordinates, are Hg at (0.000, 0.000, 0.000), H at (0.000, 0.000, 0.500) and Ru at (0.500, 0.500, 0.500).

The calculation puts the energy relative to the lowest polymorph listed for this composition at 847.7 meV per atom.

=====

Hg2HRu | GGA-PBE | relaxed

The structure belongs to space group Fm-3m (No. 225); the cell edges are 6.481, 6.481 and 6.481 Å and the angles 90.00°, 90.00° and 90.00°. The distinct sites, in fractional coordinates, are Hg at (0.250, 0.250, 0.250), H at (0.000, 0.000, 0.000) and Ru at (0.000, 0.000, 0.500).

The calculation puts the energy relative to the lowest polymorph listed for this composition at 265.9 meV per atom.

=====

HgH2Ru2 | GGA-PBE | relaxed

The structure belongs to space group I4/mmm (No. 139); the cell edges are 3.528, 3.528 and 8.691 Å and the angles 90.00°, 90.00° and 90.00°. The distinct sites, in fractional coordinates, are Hg at (0.000, 0.000, 0.000), H at (0.000, 0.500, 0.250) and Ru at (0.000, 0.000, 0.330).

For the electronic total energy, the calculation gives -4.759 eV per atom.

=====

Sc2HgHRu | GGA-PBE | relaxed

The structure belongs to space group P4/mmm (No. 123); the cell edges are 4.658, 4.658 and 3.609 Å and the angles 90.00°, 90.00° and 90.00°. The distinct sites, in fractional coordinates, are Sc at (0.000, 0.500, 0.000), Hg at (0.000, 0.000, 0.500), H at (0.500, 0.500, 0.000) and Ru at (0.500, 0.500, 0.500).

For the electronic total energy, the calculation gives -5.574 eV per atom.